[1]
## La4CuSb (GGA-PBE)

Data for an optimized crystal structure of La4CuSb.

extended XYZ file:
```
6
Lattice="0.000 4.527 4.527 4.527 0.000 4.527 4.527 4.527 0.000" Properties=species:S:1:pos:R:3 pbc="T T T"
La 1.115 1.115 1.115
La 3.412 3.412 1.115
La 3.412 1.115 3.412
La 1.115 3.412 3.412
Cu 4.527 4.527 4.527
Sb 6.791 6.791 6.791
```

Calculated values
Symmetry ... F-43m, No. 216
Formation energy (no corrections) ... 0.22 eV/atom

=====

[2]
## Rb3NpSc2Se6 (GGA-PBE)

Data for an optimized crystal structure of Rb3NpSc2Se6.

extended XYZ file:
```
12
Lattice="3.584 -6.207 0.000 3.584 6.207 0.000 -2.393 0.000 7.950" Properties=species:S:1:pos:R:3 pbc="T T T"
Rb 0.000 0.000 0.000
Rb 3.584 2.042 0.000
Rb 3.584 -2.042 0.000
Np 2.387 0.000 3.975
Sc 2.387 4.136 3.975
Sc 2.387 -4.136 3.975
Se 1.142 2.156 2.467
Se -0.103 0.000 5.478
Se 1.142 -2.156 2.467
Se 3.632 2.156 5.483
Se 4.878 0.000 2.472
Se 3.632 -2.156 5.483
```

Calculated values
Symmetry ... C2/m, No. 12
Formation energy (no corrections) ... -1.46 eV/atom

=====

[3]
## Re2PCl (GGA-PBE)

Data for an optimized crystal structure of Re2PCl.

extended XYZ file:
```
4
Lattice="0.000 3.013 3.013 3.013 0.000 3.013 3.013 3.013 0.000" Properties=species:S:1:pos:R:3 pbc="T T T"
Re 1.507 1.507 1.507
Re 4.520 4.520 4.520
P 0.000 0.000 0.000
Cl 3.013 3.013 3.013
```

Calculated values
Symmetry ... Fm-3m, No. 225
Formation energy (no corrections) ... 0.75 eV/atom
Energy above the lowest structure with this stoichiometry ... 722 meV per atom

=====

[4]
## La15Tl4Ga (GGA-PBE)

Data for an optimized crystal structure of La15Tl4Ga.

extended XYZ file:
```
20
Lattice="5.048 0.000 0.000 0.000 5.048 0.000 0.000 0.000 25.214" Properties=species:S:1:pos:R:3 pbc="T T T"
La 0.000 0.000 0.000
La 0.000 0.000 4.938
La 0.000 0.000 10.058
La 0.000 0.000 15.156
La 0.000 0.000 20.276
La 0.000 2.524 2.390
La 0.000 2.524 7.509
La 0.000 2.524 12.607
La 0.000 2.524 17.704
La 0.000 2.524 22.823
La 2.524 0.000 2.390
La 2.524 0.000 7.509
La 2.524 0.000 12.607
La 2.524 0.000 17.704
La 2.524 0.000 22.823
Tl 2.524 2.524 4.964
Tl 2.524 2.524 10.058
Tl 2.524 2.524 15.156
Tl 2.524 2.524 20.249
Ga 2.524 2.524 0.000
```

Calculated values
Symmetry ... P4/mmm, No. 123
Energy of formation ... -247 meV/atom

=====

[5]
## CaTcP2Pd (GGA-PBE)

Data for an optimized crystal structure of CaTcP2Pd.

extended XYZ file:
```
5
Lattice="-2.033 2.033 5.043 2.033 -2.033 5.043 2.033 2.033 -5.043" Properties=species:S:1:pos:R:3 pbc="T T T"
Ca 0.000 0.000 0.000
Tc 2.033 0.000 2.522
P 0.000 0.000 3.818
P 0.000 0.000 6.268
Pd 0.000 2.033 2.522
```

Calculated values
Symmetry ... I-4m2, No. 119
Energy of formation ... -763 meV/atom

=====

[6]
## TaBeSN2 (GGA-PBE)

Data for an optimized crystal structure of TaBeSN2.

extended XYZ file:
```
5
Lattice="3.510 0.000 0.000 0.000 3.510 0.000 0.000 0.000 4.339" Properties=species:S:1:pos:R:3 pbc="T T T"
Ta 0.000 0.000 0.000
Be 1.755 1.755 2.170
S 1.755 1.755 0.000
N 0.000 1.755 2.170
N 1.755 0.000 2.170
```

Calculated values
Symmetry ... P4/mmm, No. 123
Formation energy (no corrections) ... 0.68 eV/atom
Energy above the lowest structure with this stoichiometry ... 237 meV per atom

=====

Quick rundown of spin magnetization, same order as above: 0.0, 4.0, 0.0, 0.0, 0.0, 0.0 μB per formula unit